# Rb3MgCu2F9 GGA-PBE optimized geometry
# Calculated total energy in eV per atom: -4.4232
# Total magnetic moment in μB/cell: 2.02
# ΔE_f (raw) in meV per atom: -2454
# DOS(E_F) in states/eV per atom: 0.113
data_Rb3MgCu2F9
_space_group_name_H-M_alt 'P -3 m 1'
_space_group_IT_number 164
_space_group_name_Hall '-P 3 2"'
_cell_length_a 5.8515
_cell_length_b 5.8515
_cell_length_c 7.1651
_cell_angle_alpha 90.00
_cell_angle_beta 90.00
_cell_angle_gamma 120.00
loop_
_atom_site_label
_atom_site_type_symbol
_atom_site_fract_x
_atom_site_fract_y
_atom_site_fract_z
Rb1 Rb 0.0000 0.0000 0.0000
Rb2 Rb 0.3333 0.6667 0.6671
Mg1 Mg 0.0000 0.0000 0.5000
Cu1 Cu 0.3333 0.6667 0.1671
F1 F 0.0000 0.5000 0.0000
F2 F 0.1649 0.3298 0.3347